Record 1
An optimized crystal structure of TiMn4Pd, computed with GGA-PBE.

Cell lengths 4.7270, 4.7270, 4.7270 Å; angles 60.00, 60.00, 60.00 degrees
Sites, in units of the cell vectors:
1 Mn 0.6266 0.6266 0.1203
2 Mn 0.6266 0.1203 0.6266
3 Mn 0.6266 0.6266 0.6266
4 Mn 0.1203 0.6266 0.6266
5 Pd 0.0000 0.0000 0.0000
6 Ti 0.2500 0.2500 0.2500

Calculated values
For the volume, the calculation gives 75 Å³/f.u. Its energy relative to the elements is -0.07 eV per atom. As for the final energy: -8.36 eV per atom. As for the symmetry: F-43m (216).

Record 2
An optimized crystal structure of FeIr2Se, computed with GGA-PBE.

Cell lengths 5.5489, 5.5489, 6.4689 Å; angles 64.60, 64.60, 90.00 degrees
Sites, in units of the cell vectors:
1 Ir 0.6040 0.1250 0.2500
2 Ir 0.1460 0.6250 0.2500
3 Ir 0.3750 0.3960 0.7500
4 Ir 0.8750 0.8540 0.7500
5 Fe 0.5000 0.5000 0.0000
6 Fe 0.2500 0.7500 0.5000
7 Se 0.0000 0.0000 0.0000
8 Se 0.7500 0.2500 0.5000

Calculated values
For the volume, the calculation gives 79 Å³/f.u. The formation energy (no corrections) comes out at 2.9 eV per formula unit. As for the final energy: -6.69 eV per atom. As for the symmetry: I-42d (122).

Record 3
An optimized crystal structure of Mg10Tl3Pb3, computed with GGA-PBE.

Cell lengths 5.9044, 8.8707, 8.8707 Å; angles 120.00, 90.00, 90.00 degrees
Sites, in units of the cell vectors:
1 Mg 0.2534 0.6667 0.3333
2 Mg 0.2534 0.3333 0.6667
3 Mg 0.7466 0.3333 0.6667
4 Mg 0.7466 0.6667 0.3333
5 Mg 0.5000 0.0000 0.7769
6 Mg 0.5000 0.7769 0.0000
7 Mg 0.5000 0.2231 0.2231
8 Mg 0.0000 0.0000 0.2235
9 Mg 0.0000 0.2235 0.0000
10 Mg 0.0000 0.7765 0.7765
11 Tl 0.5000 0.0000 0.3961
12 Tl 0.5000 0.3961 0.0000
13 Tl 0.5000 0.6039 0.6039
14 Pb 0.0000 0.0000 0.6049
15 Pb 0.0000 0.6049 0.0000
16 Pb 0.0000 0.3951 0.3951

Calculated values
For the volume, the calculation gives 402 Å³/f.u. Its energy relative to the elements is -0.01 eV per atom. As for the final energy: -2.15 eV per atom. As for the symmetry: P-62m (189).

Record 4
An optimized crystal structure of Te2PPd2, computed with GGA-PBE.

Cell lengths 7.7802, 7.7802, 3.4428 Å; angles 90.00, 90.00, 90.00 degrees
Sites, in units of the cell vectors:
1 P 0.0000 0.0000 0.0000
2 P 0.5000 0.5000 0.0000
3 Te 0.3176 0.8176 0.0000
4 Te 0.8176 0.6824 0.0000
5 Te 0.6824 0.1824 0.0000
6 Te 0.1824 0.3176 0.0000
7 Pd 0.1240 0.6240 0.5000
8 Pd 0.6240 0.8760 0.5000
9 Pd 0.8760 0.3760 0.5000
10 Pd 0.3760 0.1240 0.5000

Calculated values
For the volume, the calculation gives 104 Å³/f.u. The calculation puts the offset from the most stable computed form at 2 kJ/mol of formula units. The formation energy (no corrections) comes out at 0.9 eV per formula unit. As for the final energy: -4.23 eV per atom. As for the symmetry: P4/mbm (127).

Record 5
An optimized crystal structure of Fe2AgSn, computed with GGA-PBE.

Cell lengths 7.1945, 7.1945, 5.7561 Å; angles 51.32, 51.32, 90.00 degrees
Each line ends with the local moment (μB).
Sites, in units of the cell vectors:
1 Sn 0.0000 0.0000 0.0000  -0.11
2 Sn 0.7500 0.2500 0.5000  -0.11
3 Ag 0.5000 0.5000 0.0000  -0.03
4 Ag 0.2500 0.7500 0.5000  -0.03
5 Fe 0.6261 0.1250 0.2500  2.61
6 Fe 0.1239 0.6250 0.2500  2.61
7 Fe 0.3750 0.3739 0.7500  2.61
8 Fe 0.8750 0.8761 0.7500  2.61

Calculated values
For the volume, the calculation gives 70 Å³/f.u. Its energy relative to the elements is 0.58 eV per atom. As for the final energy: -5.36 eV per atom. As for the symmetry: I-42d (122).

Record 6
An optimized crystal structure of Ho3HgN, computed with GGA-PBE.

Cell lengths 4.7721, 4.7721, 4.7721 Å; angles 90.00, 90.00, 90.00 degrees
Sites, in units of the cell vectors:
1 N 0.0000 0.0000 0.0000
2 Hg 0.5000 0.5000 0.5000
3 Ho 0.0000 0.5000 0.0000
4 Ho 0.0000 0.0000 0.5000
5 Ho 0.5000 0.0000 0.0000

Calculated values
For the volume, the calculation gives 109 Å³/f.u. The formation energy (no corrections) comes out at -4.7 eV per formula unit. As for the final energy: -5.41 eV per atom. As for the symmetry: Pm-3m (221).

Record 7
An optimized crystal structure of Pa3Ti12Pt5, computed with GGA-PBE.

Cell lengths 13.2124, 13.2124, 13.2124 Å; angles 109.47, 109.47, 109.47 degrees
Sites, in units of the cell vectors:
1 Pa 0.7500 0.3750 0.1250
2 Pa 0.8750 0.7500 0.1250
3 Pa 0.3750 0.7500 0.6250
4 Pa 0.2500 0.1250 0.3750
5 Pa 0.8750 0.1250 0.2500
6 Pa 0.3750 0.6250 0.2500
7 Pa 0.6250 0.3750 0.7500
8 Pa 0.1250 0.8750 0.7500
9 Pa 0.7500 0.8750 0.6250
10 Pa 0.6250 0.2500 0.3750
11 Pa 0.1250 0.2500 0.8750
12 Pa 0.2500 0.6250 0.8750
13 Pt 0.1250 0.3750 0.2500
14 Pt 0.0000 0.5000 0.0000
15 Pt 0.0000 0.0000 0.0000
16 Pt 0.3750 0.2500 0.1250
17 Pt 0.5000 0.0000 0.5000
18 Pt 0.5000 0.5000 0.0000
19 Pt 0.1250 0.7500 0.3750
20 Pt 0.7500 0.1250 0.8750
21 Pt 0.7500 0.6250 0.3750
22 Pt 0.3750 0.1250 0.7500
23 Pt 0.6250 0.8750 0.2500
24 Pt 0.5000 0.5000 0.5000
25 Pt 0.5000 0.0000 0.0000
26 Pt 0.0000 0.0000 0.5000
27 Pt 0.2500 0.3750 0.6250
28 Pt 0.2500 0.8750 0.1250
29 Pt 0.0000 0.5000 0.5000
30 Pt 0.8750 0.2500 0.6250
31 Pt 0.6250 0.7500 0.8750
32 Pt 0.8750 0.6250 0.7500
33 Ti 0.7225 0.1238 0.0524
34 Ti 0.3299 0.5524 0.4286
35 Ti 0.9476 0.3762 0.2775
36 Ti 0.5524 0.2225 0.1238
37 Ti 0.5987 0.7225 0.6701
38 Ti 0.9476 0.5714 0.1701
39 Ti 0.3299 0.7775 0.4013
40 Ti 0.0714 0.9013 0.1238
41 Ti 0.5714 0.9476 0.6701
42 Ti 0.7225 0.5987 0.1701
43 Ti 0.7775 0.4476 0.3762
44 Ti 0.8299 0.9286 0.0524
45 Ti 0.1238 0.7225 0.5524
46 Ti 0.3762 0.4286 0.0987
47 Ti 0.0987 0.9286 0.3762
48 Ti 0.4013 0.1238 0.5714
49 Ti 0.0987 0.1701 0.2225
50 Ti 0.4476 0.6701 0.0714
51 Ti 0.8299 0.9013 0.2775
52 Ti 0.1238 0.4013 0.0714
53 Ti 0.3762 0.9476 0.7775
54 Ti 0.5714 0.6238 0.4013
55 Ti 0.9286 0.8299 0.5524
56 Ti 0.7775 0.3299 0.9013
57 Ti 0.4286 0.3762 0.5987
58 Ti 0.0714 0.1701 0.4476
59 Ti 0.2225 0.6701 0.0987
60 Ti 0.1701 0.0987 0.7225
61 Ti 0.6238 0.0524 0.2225
62 Ti 0.8762 0.5987 0.9286
63 Ti 0.5524 0.3299 0.9286
64 Ti 0.5987 0.8762 0.4286
65 Ti 0.9013 0.8299 0.7775
66 Ti 0.9013 0.0714 0.6238
67 Ti 0.8762 0.2775 0.4476
68 Ti 0.1701 0.0714 0.9476
69 Ti 0.6238 0.5714 0.9013
70 Ti 0.4286 0.0524 0.3299
71 Ti 0.2775 0.4013 0.8299
72 Ti 0.2225 0.5524 0.6238
73 Ti 0.9286 0.0987 0.8762
74 Ti 0.6701 0.2225 0.5987
75 Ti 0.4476 0.7775 0.8762
76 Ti 0.0524 0.4286 0.8299
77 Ti 0.4013 0.2775 0.3299
78 Ti 0.0524 0.6238 0.7225
79 Ti 0.6701 0.4476 0.5714
80 Ti 0.2775 0.8762 0.9476

Calculated values
For the volume, the calculation gives 444 Å³/f.u. Its energy relative to the elements is 0.36 eV per atom. As for the final energy: -7.31 eV per atom. As for the symmetry: Ia-3d (230).

Record 8
An optimized crystal structure of HgRhW2, computed with GGA-PBE.

Cell lengths 4.9322, 4.9322, 5.0790 Å; angles 80.86, 80.86, 33.07 degrees
Sites, in units of the cell vectors:
1 Hg 0.4977 0.4977 0.5052
2 Rh 0.7374 0.7374 0.7672
3 W 0.0075 0.0075 0.9978
4 W 0.2575 0.2575 0.2298

Calculated values
For the volume, the calculation gives 66 Å³/f.u. Its energy relative to the elements is 0.42 eV per atom. As for the final energy: -7.97 eV per atom. As for the symmetry: Cm (8).

Record 9
An optimized crystal structure of SrCoW2, computed with GGA-PBE.

Cell lengths 3.2395, 3.2395, 7.5475 Å; angles 90.00, 90.00, 90.00 degrees
Sites, in units of the cell vectors:
1 Co 0.5000 0.5000 0.2500
2 Sr 0.5000 0.5000 0.7500
3 W 0.0000 0.0000 0.0934
4 W 0.0000 0.0000 0.4066

Calculated values
For the volume, the calculation gives 79 Å³/f.u. The calculation puts the offset from the most stable computed form at 83 kJ/mol of formula units. Its energy relative to the elements is 0.88 eV per atom. As for the final energy: -7.79 eV per atom. As for the symmetry: P4/mmm (123).

Record 10
An optimized crystal structure of Th6PtRh2Se3, computed with GGA-PBE.

Cell lengths 7.1513, 7.1513, 7.6925 Å; angles 98.89, 98.89, 120.03 degrees
Sites, in units of the cell vectors:
1 Th 0.9251 0.5862 0.7759
2 Th 0.7359 0.7359 0.2237
3 Th 0.0749 0.4138 0.2241
4 Th 0.5862 0.9251 0.7759
5 Th 0.2641 0.2641 0.7763
6 Th 0.4138 0.0749 0.2241
7 Pt 0.0000 0.0000 0.0000
8 Rh 0.3332 0.6668 0.0000
9 Rh 0.6668 0.3332 0.0000
10 Se 0.1652 0.8348 0.5000
11 Se 0.8348 0.1652 0.5000
12 Se 0.5000 0.5000 0.5000

Calculated values
For the volume, the calculation gives 324 Å³/f.u. The formation energy (no corrections) comes out at -15.2 eV per formula unit. As for the final energy: -7.57 eV per atom. As for the symmetry: C2/m (12).

Record 11
An optimized crystal structure of Rb2CdSi2, computed with GGA-PBE.

Cell lengths 8.7177, 8.7177, 5.1000 Å; angles 90.00, 90.00, 90.00 degrees
Sites, in units of the cell vectors:
1 Si 0.4122 0.9122 0.0000
2 Si 0.9122 0.5878 0.0000
3 Si 0.5878 0.0878 0.0000
4 Si 0.0878 0.4122 0.0000
5 Rb 0.1993 0.6993 0.5000
6 Rb 0.6993 0.8007 0.5000
7 Rb 0.8007 0.3007 0.5000
8 Rb 0.3007 0.1993 0.5000
9 Cd 0.0000 0.0000 0.0000
10 Cd 0.5000 0.5000 0.0000

Calculated values
For the volume, the calculation gives 194 Å³/f.u. The formation energy (no corrections) comes out at 1.3 eV per formula unit. As for the final energy: -2.47 eV per atom. As for the symmetry: P4/mbm (127).

Record 12
An optimized crystal structure of Be2WCl, computed with GGA-PBE.

Cell lengths 2.7982, 2.7982, 7.3035 Å; angles 90.00, 90.00, 108.64 degrees
Sites, in units of the cell vectors:
1 Be 0.0000 0.0000 0.9957
2 Be 0.0000 0.0000 0.5043
3 W 0.5000 0.5000 0.7500
4 Cl 0.5000 0.5000 0.2500

Calculated values
For the volume, the calculation gives 54 Å³/f.u. The calculation puts the offset from the most stable computed form at 54 kJ/mol of formula units. The formation energy (no corrections) comes out at 1.4 eV per formula unit. As for the final energy: -5.22 eV per atom. As for the symmetry: Cmmm (65).

Record 13
An optimized crystal structure of Mg7Hg, computed with GGA-PBE.

Cell lengths 6.3409, 6.3409, 6.3409 Å; angles 60.00, 60.00, 60.00 degrees
Sites, in units of the cell vectors:
1 Hg 0.0000 0.0000 0.0000
2 Mg 0.0000 0.0000 0.5000
3 Mg 0.0000 0.5000 0.0000
4 Mg 0.0000 0.5000 0.5000
5 Mg 0.5000 0.0000 0.0000
6 Mg 0.5000 0.0000 0.5000
7 Mg 0.5000 0.5000 0.0000
8 Mg 0.5000 0.5000 0.5000

Calculated values
For the volume, the calculation gives 180 Å³/f.u. The calculation puts the offset from the most stable computed form at 5 kJ/mol of formula units. Its energy relative to the elements is -0.05 eV per atom. As for the final energy: -1.48 eV per atom. As for the symmetry: Fm-3m (225).

Record 14
An optimized crystal structure of Nd2NbSe5, computed with GGA-PBE.

Cell lengths 7.2847, 7.2846, 6.5566 Å; angles 123.74, 123.74, 90.00 degrees
Sites, in units of the cell vectors:
1 Nd 0.2977 0.7977 0.5955
2 Nd 0.7977 0.2978 0.5955
3 Nb 0.9562 0.9561 0.9123
4 Se 0.7674 0.2569 0.0243
5 Se 0.2569 0.2569 0.0244
6 Se 0.7675 0.7675 0.0244
7 Se 0.2569 0.7675 0.0243
8 Se 0.6766 0.6766 0.3533

Calculated values
For the volume, the calculation gives 215 Å³/f.u. The formation energy (no corrections) comes out at -9.1 eV per formula unit. As for the final energy: -5.77 eV per atom. As for the symmetry: I4mm (107).

Record 15
An optimized crystal structure of AlInAs, computed with GGA-PBE.

Cell lengths 3.9695, 3.9533, 11.3618 Å; angles 78.79, 89.97, 59.86 degrees
Sites, in units of the cell vectors:
1 As 0.5082 0.0967 0.4872
2 As 0.3604 0.3915 0.0560
3 Al 0.0633 0.9854 0.1541
4 Al 0.1372 0.8391 0.3893
5 In 0.9015 0.3104 0.6665
6 In 0.6376 0.8385 0.8779

Calculated values
For the volume, the calculation gives 75 Å³/f.u. The calculation puts the offset from the most stable computed form at 30 kJ/mol of formula units. Its energy relative to the elements is -0.10 eV per atom. As for the final energy: -3.81 eV per atom. As for the symmetry: Cm (8).

Record 16
An optimized crystal structure of LiCe2Pb2, computed with GGA-PBE.

Cell lengths 6.5860, 6.7043, 8.1451 Å; angles 114.30, 113.85, 90.00 degrees
Each line ends with the local moment (μB).
Sites, in units of the cell vectors:
1 Li 0.7500 0.5000 0.0000  0.00
2 Li 0.2500 0.5000 0.0000  0.00
3 Ce 0.8630 0.6450 0.7259  0.65
4 Ce 0.1370 0.3550 0.2741  0.65
5 Ce 0.6370 0.9190 0.2741  0.65
6 Ce 0.3630 0.0810 0.7259  0.65
7 Pb 0.3811 0.6160 0.7623  -0.03
8 Pb 0.6189 0.3840 0.2377  -0.03
9 Pb 0.1189 0.8537 0.2377  -0.03
10 Pb 0.8811 0.1463 0.7623  -0.03

Calculated values
For the volume, the calculation gives 147 Å³/f.u. Its energy relative to the elements is -0.31 eV per atom. As for the final energy: -4.55 eV per atom. As for the symmetry: Ibam (72).

Record 17
An optimized crystal structure of KMn2Ag, computed with GGA-PBE.

Cell lengths 4.7438, 2.8964, 7.0973 Å; angles 79.36, 90.00, 90.00 degrees
Each line ends with the local moment (μB).
Sites, in units of the cell vectors:
1 Ag 0.5000 0.2500 0.2500  0.03
2 K 0.5000 0.7500 0.7500  0.01
3 Mn 0.0000 0.0377 0.0941  3.70
4 Mn 0.0000 0.4623 0.4059  3.70

Calculated values
For the volume, the calculation gives 96 Å³/f.u. The calculation puts the offset from the most stable computed form at 48 kJ/mol of formula units. Its energy relative to the elements is 0.73 eV per atom. As for the final energy: -4.85 eV per atom. As for the symmetry: P2/m (10).

Record 18
An optimized crystal structure of MnMoAu2, computed with GGA-PBE.

Cell lengths 3.1730, 3.1590, 6.5320 Å; angles 90.00, 90.00, 90.00 degrees
Each line ends with the local moment (μB).
Sites, in units of the cell vectors:
1 Au 0.0000 0.0000 0.9910  -0.06
2 Au 0.5000 0.5000 0.2734  0.01
3 Mn 0.0000 0.0000 0.5224  2.62
4 Mo 0.5000 0.5000 0.7131  -1.10

Calculated values
For the volume, the calculation gives 65 Å³/f.u. The calculation puts the offset from the most stable computed form at 18 kJ/mol of formula units. Its energy relative to the elements is 0.18 eV per atom. As for the final energy: -6.46 eV per atom. As for the symmetry: Pmm2 (25).

Record 19
An optimized crystal structure of K2CaAl, computed with GGA-PBE.

Cell lengths 6.0000, 6.0000, 6.0000 Å; angles 120.06, 120.06, 89.89 degrees
Each line ends with the local moment (μB).
Sites, in units of the cell vectors:
1 Ca 0.7500 0.2500 0.5000  0.06
2 K 0.0000 0.0000 0.0000  0.01
3 K 0.2500 0.7500 0.5000  0.02
4 Al 0.5000 0.5000 0.0000  0.09

Calculated values
For the volume, the calculation gives 153 Å³/f.u. Its energy relative to the elements is 0.26 eV per atom. As for the final energy: -1.73 eV per atom. As for the symmetry: I-4m2 (119).

Record 20
An optimized crystal structure of Hf4AlTc3, computed with GGA-PBE.

Cell lengths 4.6378, 6.6111, 9.2754 Å; angles 90.00, 90.00, 90.00 degrees
Sites, in units of the cell vectors:
1 Hf 0.5000 0.7599 0.0000
2 Hf 0.5000 0.7599 0.5000
3 Hf 0.5000 0.2401 0.0000
4 Hf 0.5000 0.2401 0.5000
5 Hf 0.9998 0.7599 0.7500
6 Hf 0.0002 0.7599 0.2500
7 Hf 0.0002 0.2401 0.2500
8 Hf 0.9998 0.2401 0.7500
9 Al 0.0000 0.5000 0.0000
10 Al 0.0000 0.5000 0.5000
11 Tc 0.0000 0.0000 0.0000
12 Tc 0.0000 0.0000 0.5000
13 Tc 0.4999 0.0000 0.7500
14 Tc 0.5001 0.0000 0.2500
15 Tc 0.4997 0.5000 0.7500
16 Tc 0.5003 0.5000 0.2500

Calculated values
For the volume, the calculation gives 142 Å³/f.u. Its energy relative to the elements is -0.47 eV per atom. As for the final energy: -9.80 eV per atom. As for the symmetry: P4/mmm (123).